Material: Li2CuPb
Method: DFT, PBE
State: optimized geometry

Computed properties:
**E_form**: -52 kJ/mol of formula units
**SG**: Immm, No. 71
**Density**: 6.73 g cm⁻³
**Density of states at the Fermi level**: 1.0 states/eV/cell
**Electronic total energy**: -3.043 eV/atom

a = 5.1604 Å, b = 5.1604 Å, c = 5.1604 Å
α = 134.31°, β = 133.46°, γ = 67.27°
Atoms (fractional coordinates):
Li: 0.2482 0.2482 0.0000
Li: 0.7518 0.7518 0.0000
Cu: 0.0000 0.5000 0.5000
Pb: 0.5000 0.0000 0.5000

***

Material: YTlAg
Method: DFT, PBE
State: optimized geometry

Computed properties:
**E_form**: -76 kJ/mol of formula units
**SG**: C2/m, No. 12
**Density**: 9.13 g cm⁻³
**Density of states at the Fermi level**: 3.8 states/eV/cell
**Electronic total energy**: -4.158 eV/atom

a = 6.0404 Å, b = 6.0404 Å, c = 6.9020 Å
α = 124.83°, β = 124.83°, γ = 47.96°
Atoms (fractional coordinates):
Y: 0.9995 0.9995 0.2463
Y: 0.0005 0.0005 0.7537
Tl: 0.3264 0.3264 0.3270
Tl: 0.6736 0.6736 0.6730
Ag: 0.3389 0.3389 0.8381
Ag: 0.6611 0.6611 0.1619